No. 1
The following is a DFT calculation (GGA-PBE) of an optimized crystal structure of Tb2YSn5Pb2.

a = 13.5408 Å, b = 13.5408 Å, c = 4.4866 Å
α = 90.00°, β = 90.00°, γ = 160.95°
With the nearest neighbours (Å) after each atom.
Fractional coordinates of all 10 atoms:
Tb1 0.1909 0.8091 0.0000  8 Sn 3.22-3.44, 2 Pb 3.36
Tb2 0.8091 0.1909 0.0000  8 Sn 3.22-3.44, 2 Pb 3.36
Y1 0.5000 0.5000 0.5000  8 Sn 3.17-3.41, 4 Pb 3.43
Sn1 0.0000 0.0000 0.0000  4 Y 3.17, 4 Sn 3.42, 4 Pb 3.43
Sn2 0.0965 0.9035 0.5000  4 Pb 3.17, 2 Tb 3.38, 2 Y 3.41, 2 Sn 3.42
Sn3 0.2885 0.7115 0.5000  2 Sn 3.04, 4 Tb 3.22
Sn4 0.7115 0.2885 0.5000  2 Sn 3.04, 4 Tb 3.22
Sn5 0.9035 0.0965 0.5000  4 Pb 3.17, 2 Tb 3.38, 2 Y 3.41, 2 Sn 3.42
Pb1 0.4027 0.5973 0.0000  6 Sn 3.17-3.43, 2 Tb 3.36, 2 Y 3.43
Pb2 0.5973 0.4027 0.0000  6 Sn 3.17-3.43, 2 Tb 3.36, 2 Y 3.43

Final energy = -48.01 eV for the cell shown
Space group = No. 65
Size of the total moment = 0.000 μB per atom

=====

No. 2
The following is a DFT calculation (GGA-PBE) of an optimized crystal structure of ErTmIr.

a = 7.1517 Å, b = 4.5423 Å, c = 8.6707 Å
α = 90.00°, β = 90.00°, γ = 90.00°
With the nearest neighbours (Å) after each atom.
Fractional coordinates of all 12 atoms:
Er1 0.1420 0.2500 0.0794  4 Ir 2.85-2.92
Er2 0.3580 0.7500 0.5794  4 Ir 2.85-2.92
Er3 0.6420 0.2500 0.4206  4 Ir 2.85-2.92
Er4 0.8580 0.7500 0.9206  4 Ir 2.85-2.92
Tm1 0.0100 0.2500 0.6623  3 Ir 2.78-2.96
Tm2 0.4900 0.7500 0.1623  3 Ir 2.78-2.96
Tm3 0.5100 0.2500 0.8377  3 Ir 2.78-2.96
Tm4 0.9900 0.7500 0.3377  3 Ir 2.78-2.96
Ir1 0.2433 0.2500 0.4052  3 Tm 2.78-2.96, 4 Er 2.85-2.92
Ir2 0.2567 0.7500 0.9052  3 Tm 2.78-2.96, 4 Er 2.85-2.92
Ir3 0.7433 0.2500 0.0948  3 Tm 2.78-2.96, 4 Er 2.85-2.92
Ir4 0.7567 0.7500 0.5948  3 Tm 2.78-2.96, 4 Er 2.85-2.92

Energy relative to the elements = -0.772 eV/atom
Space group = No. 62
Size of the total moment = 0.003 μB per atom

=====

No. 3
The following is a DFT calculation (GGA-PBE) of an optimized crystal structure of ThTcW.

a = 6.4653 Å, b = 6.4653 Å, c = 6.4653 Å
α = 90.00°, β = 90.00°, γ = 90.00°
With the nearest neighbours (Å) after each atom.
Fractional coordinates of all 12 atoms:
Th1 0.0000 0.0000 0.0000  4 W 2.80
Th2 0.0000 0.5000 0.5000  4 W 2.80
Th3 0.5000 0.0000 0.5000  4 W 2.80
Th4 0.5000 0.5000 0.0000  4 W 2.80
Tc1 0.0000 0.0000 0.5000  4 W 2.80
Tc2 0.0000 0.5000 0.0000  4 W 2.80
Tc3 0.5000 0.0000 0.0000  4 W 2.80
Tc4 0.5000 0.5000 0.5000  4 W 2.80
W1 0.2500 0.2500 0.2500  4 Th 2.80, 4 Tc 2.80
W2 0.2500 0.7500 0.7500  4 Th 2.80, 4 Tc 2.80
W3 0.7500 0.2500 0.7500  4 Th 2.80, 4 Tc 2.80
W4 0.7500 0.7500 0.2500  4 Th 2.80, 4 Tc 2.80

Energy relative to the elements = 0.668 eV/atom
Space group = No. 216
Size of the total moment = 0.001 μB per atom

=====

No. 4
The following is a DFT calculation (GGA-PBE) of an optimized crystal structure of CsIr3Se5.

a = 5.9067 Å, b = 5.9067 Å, c = 7.5148 Å
α = 90.00°, β = 90.00°, γ = 120.00°
With the nearest neighbours (Å) after each atom.
Fractional coordinates of all 9 atoms:
Cs1 0.0000 0.0000 0.0000  14 Se 3.76-3.93
Ir1 0.0000 0.5000 0.5000  4 Se 2.49
Ir2 0.5000 0.0000 0.5000  4 Se 2.49
Ir3 0.5000 0.5000 0.5000  4 Se 2.49
Se1 0.0000 0.0000 0.5000  6 Ir 2.95
Se2 0.3333 0.6667 0.2588  3 Ir 2.49
Se3 0.3333 0.6667 0.7412  3 Ir 2.49
Se4 0.6667 0.3333 0.2588  3 Ir 2.49
Se5 0.6667 0.3333 0.7412  3 Ir 2.49

Final energy = -46.71 eV for the cell shown
Space group = No. 191
Size of the total moment = 0.040 μB per atom

=====

No. 5
The following is a DFT calculation (GGA-PBE) of an optimized crystal structure of Au.

a = 2.8474 Å, b = 2.8474 Å, c = 43.6936 Å
α = 90.00°, β = 90.00°, γ = 120.00°
With the nearest neighbours (Å) after each atom.
Fractional coordinates of all 12 atoms:
Au1 0.0000 0.0000 0.0861  9 Au 2.85-3.02
Au2 0.0000 0.0000 0.3614  12 Au 2.85-3.02
Au3 0.0000 0.0000 0.6386  12 Au 2.85-3.02
Au4 0.0000 0.0000 0.9139  9 Au 2.85-3.02
Au5 0.3333 0.6667 0.0281  12 Au 2.85-3.02
Au6 0.3333 0.6667 0.3052  12 Au 2.85-3.02
Au7 0.3333 0.6667 0.5806  9 Au 2.85-3.02
Au8 0.3333 0.6667 0.7527  9 Au 2.85-3.02
Au9 0.6667 0.3333 0.2473  9 Au 2.85-3.02
Au10 0.6667 0.3333 0.4194  9 Au 2.85-3.02
Au11 0.6667 0.3333 0.6948  12 Au 2.85-3.02
Au12 0.6667 0.3333 0.9719  12 Au 2.85-3.02

Energy relative to the elements = 0.142 eV/atom
Space group = No. 166

=====

No. 6
The following is a DFT calculation (GGA-PBE) of an optimized crystal structure of NdTaW.

a = 6.6056 Å, b = 6.6056 Å, c = 6.6056 Å
α = 90.00°, β = 90.00°, γ = 90.00°
With the nearest neighbours (Å) after each atom.
Fractional coordinates of all 12 atoms:
Nd1 0.0000 0.0000 0.0000  4 W 2.86
Nd2 0.0000 0.5000 0.5000  4 W 2.86
Nd3 0.5000 0.0000 0.5000  4 W 2.86
Nd4 0.5000 0.5000 0.0000  4 W 2.86
Ta1 0.0000 0.0000 0.5000  4 W 2.86
Ta2 0.0000 0.5000 0.0000  4 W 2.86
Ta3 0.5000 0.0000 0.0000  4 W 2.86
Ta4 0.5000 0.5000 0.5000  4 W 2.86
W1 0.2500 0.2500 0.2500  4 Ta 2.86, 4 Nd 2.86
W2 0.2500 0.7500 0.7500  4 Ta 2.86, 4 Nd 2.86
W3 0.7500 0.2500 0.7500  4 Ta 2.86, 4 Nd 2.86
W4 0.7500 0.7500 0.2500  4 Ta 2.86, 4 Nd 2.86

Energy relative to the elements = 0.891 eV/atom
Space group = No. 216
Size of the total moment = 0.000 μB per atom

=====

No. 7
The following is a DFT calculation (GGA-PBE) of an optimized crystal structure of SmAlPt.

a = 6.7330 Å, b = 6.7330 Å, c = 6.7330 Å
α = 90.00°, β = 90.00°, γ = 90.00°
With the nearest neighbours (Å) after each atom.
Fractional coordinates of all 12 atoms:
Sm1 0.0000 0.0000 0.0000  4 Al 2.92, 4 Pt 2.92
Sm2 0.0000 0.5000 0.5000  4 Al 2.92, 4 Pt 2.92
Sm3 0.5000 0.0000 0.5000  4 Al 2.92, 4 Pt 2.92
Sm4 0.5000 0.5000 0.0000  4 Al 2.92, 4 Pt 2.92
Al1 0.2500 0.2500 0.7500  4 Sm 2.92
Al2 0.2500 0.7500 0.2500  4 Sm 2.92
Al3 0.7500 0.2500 0.2500  4 Sm 2.92
Al4 0.7500 0.7500 0.7500  4 Sm 2.92
Pt1 0.2500 0.2500 0.2500  4 Sm 2.92
Pt2 0.2500 0.7500 0.7500  4 Sm 2.92
Pt3 0.7500 0.2500 0.7500  4 Sm 2.92
Pt4 0.7500 0.7500 0.2500  4 Sm 2.92

Final energy = -59.07 eV for the cell shown
Space group = No. 216
Size of the total moment = 0.001 μB per atom

=====

No. 8
The following is a DFT calculation (GGA-PBE) of an optimized crystal structure of LaCuNiSn.

a = 6.9034 Å, b = 6.9034 Å, c = 6.9034 Å
α = 90.00°, β = 90.00°, γ = 90.00°
With the nearest neighbours (Å) after each atom.
Fractional coordinates of all 16 atoms:
La1 0.0000 0.0000 0.0000  4 Sn 2.99, 4 Ni 2.99
La2 0.0000 0.5000 0.5000  4 Sn 2.99, 4 Ni 2.99
La3 0.5000 0.0000 0.5000  4 Sn 2.99, 4 Ni 2.99
La4 0.5000 0.5000 0.0000  4 Sn 2.99, 4 Ni 2.99
Cu1 0.0000 0.0000 0.5000  4 Ni 2.99, 4 Sn 2.99
Cu2 0.0000 0.5000 0.0000  4 Sn 2.99, 4 Ni 2.99
Cu3 0.5000 0.0000 0.0000  4 Sn 2.99, 4 Ni 2.99
Cu4 0.5000 0.5000 0.5000  4 Sn 2.99, 4 Ni 2.99
Ni1 0.2500 0.2500 0.7500  4 La 2.99, 4 Cu 2.99
Ni2 0.2500 0.7500 0.2500  4 La 2.99, 4 Cu 2.99
Ni3 0.7500 0.2500 0.2500  4 La 2.99, 4 Cu 2.99
Ni4 0.7500 0.7500 0.7500  4 La 2.99, 4 Cu 2.99
Sn1 0.2500 0.2500 0.2500  4 La 2.99, 4 Cu 2.99
Sn2 0.2500 0.7500 0.7500  4 La 2.99, 4 Cu 2.99
Sn3 0.7500 0.2500 0.7500  4 La 2.99, 4 Cu 2.99
Sn4 0.7500 0.7500 0.2500  4 La 2.99, 4 Cu 2.99

Final energy = -73.31 eV for the cell shown
Space group = No. 216
Size of the total moment = 0.004 μB per atom